DFT (PBE-GGA) results for an optimized crystal structure of TcP2Pb.

## Properties
raw total energy	-6.048	eV/atom
symmetry	P2/m
crystal system	monoclinic
total magnetic moment	0.0	μB per formula unit

a = 3.5263 Å, b = 4.4081 Å, c = 5.0417 Å
α = 90.00°, β = 100.43°, γ = 90.00°
Closest atoms and distances in Å follow each position.
Element x y z (fractional)
1 Tc 0.0000 0.0000 0.0000  4 P 2.48
2 P 0.2177 0.5000 0.8602  2 P 2.22-2.26, 2 Tc 2.48
3 P 0.7823 0.5000 0.1398  2 P 2.22-2.26, 2 Tc 2.48
4 Pb 0.5000 0.0000 0.5000  2 Tc 2.80, 4 P 3.13

DFT (PBE-GGA) results for an optimized crystal structure of HoErSiAu.

## Properties
raw formation energy	-0.662	eV per atom
symmetry	F-43m
crystal system	cubic
total magnetic moment	0.0	μB per formula unit

a = 5.0123 Å, b = 5.0123 Å, c = 5.0123 Å
α = 60.00°, β = 60.00°, γ = 60.00°
Closest atoms and distances in Å follow each position.
Element x y z (fractional)
1 Ho 0.0000 0.0000 0.0000  4 Si 3.07, 4 Au 3.07
2 Er 0.5000 0.5000 0.5000  4 Si 3.07, 4 Au 3.07
3 Si 0.7500 0.7500 0.7500  4 Er 3.07, 4 Ho 3.07
4 Au 0.2500 0.2500 0.2500  4 Er 3.07, 4 Ho 3.07

Q: What is the formula in the first record?
A: TcP2Pb

Q: Look up the total magnetic moment of the second one.
A: 0.0 μB per formula unit